Material: BaY2Fe
Method: DFT, PBEsol
State: relaxed

As for the relative energy among the computed polymorphs: 401 meV/atom.

The space group is C2/m (No. 12) and the conventional cell measures 6.599, 11.423 and 3.425 Å, with angles of 90.00, 119.14 and 90.00 degrees. The inequivalent atoms are Ba at (0.000, 0.000, 0.000), Y at (0.250, 0.250, 0.500) and Fe at (0.000, 0.500, 0.000).

Material: BaYFe2
Method: DFT, PBEsol
State: relaxed

As for the relative energy among the computed polymorphs: 258 meV/atom.

The space group is P4/mmm (No. 123) and the conventional cell measures 5.008, 5.008 and 3.472 Å, with angles of 90.00, 90.00 and 90.00 degrees. The inequivalent atoms are Ba at (0.000, 0.000, 0.000), Y at (0.500, 0.500, 0.000) and Fe at (0.000, 0.500, 0.500).

Material: BaY2Fe
Method: DFT, PBEsol
State: relaxed

As for the relative energy among the computed polymorphs: 283 meV/atom.

The space group is Fm-3m (No. 225) and the conventional cell measures 7.478, 7.478 and 7.478 Å, with angles of 90.00, 90.00 and 90.00 degrees. The inequivalent atoms are Ba at (0.000, 0.000, 0.000), Y at (0.250, 0.250, 0.250) and Fe at (0.000, 0.000, 0.500).

Material: Ba2YFe
Method: DFT, PBEsol
State: relaxed

As for the relative energy among the computed polymorphs: 0 meV/atom.

The space group is P4/mmm (No. 123) and the conventional cell measures 3.743, 3.743 and 9.792 Å, with angles of 90.00, 90.00 and 90.00 degrees. The inequivalent atoms are Ba at (0.000, 0.000, 0.196), Y at (0.500, 0.500, 0.500) and Fe at (0.500, 0.500, 0.000).

Material: BaYFe3
Method: DFT, PBEsol
State: relaxed

The space group is Pm-3m (No. 221) and the conventional cell measures 5.011, 5.011 and 5.011 Å, with angles of 90.00, 90.00 and 90.00 degrees. The inequivalent atoms are Ba at (0.000, 0.000, 0.000), Y at (0.500, 0.500, 0.500) and Fe at (0.000, 0.500, 0.500).

Material: BaY2Fe
Method: DFT, PBEsol
State: relaxed

As for the relative energy among the computed polymorphs: 0 meV/atom.

The space group is Amm2 (No. 38) and the conventional cell measures 3.674, 4.078 and 16.546 Å, with angles of 90.00, 90.00 and 90.00 degrees. The inequivalent atoms are Ba at (0.000, 0.000, 0.000), Y at (0.000, 0.000, 0.314), Y at (0.500, 0.000, 0.683) and Fe at (0.500, 0.000, 0.830).

no.,size of the total moment (μB/f.u.),ΔE_f (meV per atom)
1,1.92,709
2,4.04,724
3,1.51,591
4,3.14,652
5,7.50,1340
6,0.51,308